Entry one
The following is a DFT calculation (GGA-PBE) of an optimized crystal structure of AlCuRu.

Cell lengths 4.903, 4.903, 4.903 Å; angles 144.27, 144.27, 51.43 degrees
Fractional coordinates of all 3 atoms:
Al 0.000 0.000 0.000
Cu 0.337 0.337 0.000
Ru 0.660 0.660 0.000

## Properties
mass density	7.96	g/cm³
space group	No. 107
total magnetic moment	0.00	μB per cell



Entry two
The following is a DFT calculation (GGA-PBE) of an optimized crystal structure of AlCuRu.

Cell lengths 6.624, 6.624, 3.115 Å; angles 90.00, 90.00, 144.53 degrees
Fractional coordinates of all 6 atoms:
Al 0.170 0.830 0.000
Al 0.830 0.170 0.000
Cu 0.000 0.000 0.500
Cu 0.500 0.500 0.000
Ru 0.339 0.661 0.500
Ru 0.661 0.339 0.500

## Properties
mass density	8.02	g/cm³
space group	No. 65
total magnetic moment	0.00	μB per cell



Entry three
The following is a DFT calculation (GGA-PBE) of an optimized crystal structure of AlCuRu.

Cell lengths 4.112, 2.945, 6.836 Å; angles 90.00, 101.64, 90.00 degrees
Fractional coordinates of all 6 atoms:
Al 0.000 0.000 0.000
Al 0.295 0.500 0.379
Cu 0.391 0.000 0.691
Cu 0.893 0.500 0.688
Ru 0.509 0.500 0.031
Ru 0.786 0.000 0.348

## Properties
mass density	7.85	g/cm³
space group	No. 6
total magnetic moment	0.00	μB per cell



entry two is favored, and the nearest alternative lies 0.112 eV/atom above it.



Entry one
The following is a DFT calculation (GGA-PBE) of an optimized crystal structure of AlCuRu.

Cell lengths 4.250, 4.250, 5.075 Å; angles 90.00, 90.00, 120.00 degrees
Fractional coordinates of all 6 atoms:
Al 0.333 0.667 0.183
Al 0.667 0.333 0.817
Cu 0.000 0.000 0.000
Cu 0.000 0.000 0.500
Ru 0.333 0.667 0.682
Ru 0.667 0.333 0.318

## Properties
mass density	8.01	g/cm³
space group	No. 164
total magnetic moment	0.00	μB per cell



Entry two
The following is a DFT calculation (GGA-PBE) of an optimized crystal structure of AlCuRu.

Cell lengths 14.234, 2.766, 4.243 Å; angles 90.00, 90.00, 90.00 degrees
Fractional coordinates of all 12 atoms:
Al 0.120 0.250 0.230
Al 0.380 0.750 0.730
Al 0.620 0.250 0.270
Al 0.880 0.750 0.770
Cu 0.053 0.750 0.729
Cu 0.447 0.250 0.229
Cu 0.553 0.750 0.771
Cu 0.947 0.250 0.271
Ru 0.220 0.250 0.732
Ru 0.280 0.750 0.232
Ru 0.720 0.250 0.768
Ru 0.780 0.750 0.268

## Properties
mass density	7.62	g/cm³
space group	No. 62
total magnetic moment	0.00	μB per cell



Entry three
The following is a DFT calculation (GGA-PBE) of an optimized crystal structure of AlCuRu.

Cell lengths 4.586, 4.586, 5.296 Å; angles 118.38, 118.38, 60.86 degrees
Fractional coordinates of all 6 atoms:
Al 0.000 0.000 0.000
Al 0.804 0.196 0.500
Cu 0.159 0.514 0.501
Cu 0.486 0.841 0.499
Ru 0.322 0.330 0.983
Ru 0.670 0.678 0.017

## Properties
mass density	7.84	g/cm³
space group	No. 5
total magnetic moment	0.19	μB per cell



entry one is favored, and the nearest alternative lies 0.086 eV/atom above it.



Entry one
The following is a DFT calculation (GGA-PBE) of an optimized crystal structure of AlCuRu.

Cell lengths 4.594, 4.325, 4.647 Å; angles 90.00, 119.47, 90.00 degrees
Fractional coordinates of all 6 atoms:
Al 0.009 0.250 0.323
Al 0.991 0.750 0.677
Cu 0.338 0.750 0.342
Cu 0.662 0.250 0.658
Ru 0.326 0.250 0.987
Ru 0.674 0.750 0.013

## Properties
mass density	7.92	g/cm³
space group	No. 11
total magnetic moment	0.00	μB per cell



Entry two
The following is a DFT calculation (GGA-PBE) of an optimized crystal structure of AlCuRu.

Cell lengths 4.014, 4.014, 4.014 Å; angles 60.00, 60.00, 60.00 degrees
Fractional coordinates of all 3 atoms:
Al 0.000 0.000 0.000
Cu 0.250 0.250 0.250
Ru 0.750 0.750 0.750

## Properties
mass density	6.96	g/cm³
space group	No. 216
total magnetic moment	0.00	μB per cell



entry one is favored, and the nearest alternative lies 0.331 eV/atom above it.



Entry one
The following is a DFT calculation (GGA-PBE) of an optimized crystal structure of AlCu2Ru2.

Cell lengths 6.663, 6.663, 6.663 Å; angles 149.54, 149.54, 43.61 degrees
Fractional coordinates of all 5 atoms:
Al 0.000 0.000 0.000
Cu 0.406 0.406 0.000
Cu 0.594 0.594 0.000
Ru 0.250 0.750 0.500
Ru 0.750 0.250 0.500

## Properties
mass density	7.81	g/cm³
space group	No. 139
total magnetic moment	0.00	μB per cell



Entry two
The following is a DFT calculation (GGA-PBE) of an optimized crystal structure of AlCu2Ru2.

Cell lengths 5.993, 5.993, 3.776 Å; angles 90.00, 90.00, 90.00 degrees
Fractional coordinates of all 10 atoms:
Al 0.000 0.000 0.000
Al 0.500 0.500 0.000
Cu 0.134 0.366 0.000
Cu 0.366 0.866 0.000
Cu 0.634 0.134 0.000
Cu 0.866 0.634 0.000
Ru 0.170 0.670 0.500
Ru 0.330 0.170 0.500
Ru 0.670 0.830 0.500
Ru 0.830 0.330 0.500

## Properties
mass density	8.72	g/cm³
space group	No. 127
total magnetic moment	0.00	μB per cell



entry two is favored, and the nearest alternative lies 0.264 eV/atom above it.



Entry one
The following is a DFT calculation (GGA-PBE) of an optimized crystal structure of AlCuSeS.

Cell lengths 6.669, 6.669, 6.669 Å; angles 131.46, 131.42, 71.11 degrees
Fractional coordinates of all 8 atoms:
Al 0.130 0.380 0.750
Al 0.370 0.120 0.250
Cu 0.639 0.889 0.750
Cu 0.861 0.611 0.250
Se 0.250 0.997 0.747
Se 0.750 0.503 0.753
S 0.011 0.250 0.261
S 0.489 0.750 0.239

## Properties
mass density	4.10	g/cm³
space group	No. 24
total magnetic moment	0.00	μB per cell



Entry two
The following is a DFT calculation (GGA-PBE) of an optimized crystal structure of AlCuSeS.

Cell lengths 3.912, 3.912, 6.649 Å; angles 107.11, 107.11, 59.96 degrees
Fractional coordinates of all 4 atoms:
Al 0.000 0.000 0.000
Cu 0.493 0.493 0.485
Se 0.122 0.122 0.370
S 0.619 0.619 0.859

## Properties
mass density	4.04	g/cm³
space group	No. 8
total magnetic moment	0.00	μB per cell



entry one is favored, and the nearest alternative lies 0.136 eV/atom above it.



Entry one
The following is a DFT calculation (GGA-PBE) of an optimized crystal structure of AlCuSb3.

Cell lengths 5.105, 5.105, 5.105 Å; angles 90.00, 90.00, 90.00 degrees
Fractional coordinates of all 5 atoms:
Al 0.000 0.000 0.000
Cu 0.500 0.500 0.500
Sb 0.000 0.500 0.500
Sb 0.500 0.000 0.500
Sb 0.500 0.500 0.000

## Properties
mass density	5.69	g/cm³
space group	No. 221
total magnetic moment	0.00	μB per cell



Entry two
The following is a DFT calculation (GGA-PBE) of an optimized crystal structure of AlCuSb3.

Cell lengths 5.237, 5.237, 5.237 Å; angles 90.00, 90.00, 90.00 degrees
Fractional coordinates of all 5 atoms:
Al 0.000 0.000 0.000
Cu 0.500 0.500 0.500
Sb 0.000 0.000 0.500
Sb 0.000 0.500 0.000
Sb 0.500 0.000 0.000

## Properties
mass density	5.27	g/cm³
space group	No. 221
total magnetic moment	0.00	μB per cell



entry one is favored, and the nearest alternative lies 0.278 eV/atom above it.



Entry one
The following is a DFT calculation (GGA-PBE) of an optimized crystal structure of Al2Cu2Sb.

Cell lengths 7.512, 7.512, 2.932 Å; angles 90.00, 90.00, 90.00 degrees
Fractional coordinates of all 10 atoms:
Al 0.134 0.366 0.000
Al 0.366 0.866 0.000
Al 0.634 0.134 0.000
Al 0.866 0.634 0.000
Cu 0.158 0.658 0.500
Cu 0.342 0.158 0.500
Cu 0.658 0.842 0.500
Cu 0.842 0.342 0.500
Sb 0.000 0.000 0.500
Sb 0.500 0.500 0.500

## Properties
mass density	6.08	g/cm³
space group	No. 127
total magnetic moment	0.00	μB per cell



Entry two
The following is a DFT calculation (GGA-PBE) of an optimized crystal structure of Al2Cu2Sb.

Cell lengths 6.764, 6.764, 6.764 Å; angles 147.91, 147.91, 46.02 degrees
Fractional coordinates of all 5 atoms:
Al 0.111 0.111 0.000
Al 0.889 0.889 0.000
Cu 0.250 0.750 0.500
Cu 0.750 0.250 0.500
Sb 0.500 0.500 0.000

## Properties
mass density	5.78	g/cm³
space group	No. 139
total magnetic moment	0.00	μB per cell



entry one is favored, and the nearest alternative lies 0.072 eV/atom above it.



Entry one
The following is a DFT calculation (GGA-PBE) of an optimized crystal structure of AlCuSb2.

Cell lengths 5.192, 5.192, 5.192 Å; angles 133.99, 117.59, 80.93 degrees
Fractional coordinates of all 4 atoms:
Al 0.000 0.000 0.000
Cu 0.500 0.500 0.000
Sb 0.270 0.770 0.500
Sb 0.730 0.230 0.500

## Properties
mass density	6.43	g/cm³
space group	No. 71
total magnetic moment	0.00	μB per cell



Entry two
The following is a DFT calculation (GGA-PBE) of an optimized crystal structure of AlCuSb2.

Cell lengths 7.332, 7.332, 7.332 Å; angles 130.64, 130.64, 72.39 degrees
Fractional coordinates of all 8 atoms:
Al 0.000 0.000 0.000
Al 0.750 0.250 0.500
Cu 0.250 0.750 0.500
Cu 0.500 0.500 0.000
Sb 0.147 0.625 0.022
Sb 0.375 0.397 0.522
Sb 0.603 0.125 0.978
Sb 0.875 0.853 0.478

## Properties
mass density	5.00	g/cm³
space group	No. 122
total magnetic moment	0.00	μB per cell



Entry three
The following is a DFT calculation (GGA-PBE) of an optimized crystal structure of AlCuSb2.

Cell lengths 3.156, 3.156, 8.621 Å; angles 90.00, 90.00, 98.87 degrees
Fractional coordinates of all 4 atoms:
Al 0.000 0.000 0.000
Cu 0.500 0.500 0.836
Sb 0.000 0.000 0.611
Sb 0.500 0.500 0.262

## Properties
mass density	6.54	g/cm³
space group	No. 35
total magnetic moment	0.00	μB per cell



Entry four
The following is a DFT calculation (GGA-PBE) of an optimized crystal structure of AlCuSb2.

Cell lengths 6.112, 6.112, 6.112 Å; angles 141.93, 141.93, 54.93 degrees
Fractional coordinates of all 4 atoms:
Al 0.000 0.000 0.000
Cu 0.250 0.750 0.500
Sb 0.500 0.500 0.000
Sb 0.750 0.250 0.500

## Properties
mass density	6.44	g/cm³
space group	No. 119
total magnetic moment	0.00	μB per cell



entry two is favored, and the nearest alternative lies 0.050 eV/atom above it.



Entry one
The following is a DFT calculation (GGA-PBE) of an optimized crystal structure of AlCuSb2.

Cell lengths 4.960, 4.960, 4.960 Å; angles 60.00, 60.00, 60.00 degrees
Fractional coordinates of all 4 atoms:
Al 0.000 0.000 0.000
Cu 0.250 0.250 0.250
Sb 0.500 0.500 0.500
Sb 0.750 0.750 0.750

## Properties
mass density	6.43	g/cm³
space group	No. 216
total magnetic moment	0.00	μB per cell



Entry two
The following is a DFT calculation (GGA-PBE) of an optimized crystal structure of AlCuSb2.

Cell lengths 4.911, 4.911, 4.911 Å; angles 60.00, 60.00, 60.00 degrees
Fractional coordinates of all 4 atoms:
Al 0.000 0.000 0.000
Cu 0.500 0.500 0.500
Sb 0.250 0.250 0.250
Sb 0.750 0.750 0.750

## Properties
mass density	6.62	g/cm³
space group	No. 225
total magnetic moment	0.00	μB per cell



Entry three
The following is a DFT calculation (GGA-PBE) of an optimized crystal structure of AlCuSb2.

Cell lengths 4.582, 4.505, 4.505 Å; angles 74.23, 90.00, 90.00 degrees
Fractional coordinates of all 4 atoms:
Al 0.000 0.000 0.000
Cu 0.500 0.178 0.178
Sb 0.000 0.383 0.383
Sb 0.500 0.782 0.782

## Properties
mass density	6.20	g/cm³
space group	No. 38
total magnetic moment	0.00	μB per cell



entry three is favored, and the nearest alternative lies 0.255 eV/atom above it.



Entry one
The following is a DFT calculation (GGA-PBE) of an optimized crystal structure of AlCuSb2.

Cell lengths 4.858, 4.858, 4.325 Å; angles 105.39, 105.39, 103.20 degrees
Fractional coordinates of all 4 atoms:
Al 0.000 0.000 0.000
Cu 0.500 0.500 0.000
Sb 0.000 0.500 0.500
Sb 0.500 0.000 0.500

## Properties
mass density	6.17	g/cm³
space group	No. 12
total magnetic moment	0.00	μB per cell



Entry two
The following is a DFT calculation (GGA-PBE) of an optimized crystal structure of AlCuSb2.

Cell lengths 4.432, 4.432, 6.183 Å; angles 106.91, 106.91, 51.63 degrees
Fractional coordinates of all 4 atoms:
Al 0.000 0.000 0.000
Cu 0.260 0.260 0.863
Sb 0.499 0.499 0.649
Sb 0.775 0.775 0.243

## Properties
mass density	6.15	g/cm³
space group	No. 8
total magnetic moment	0.00	μB per cell



entry two is favored, and the nearest alternative lies 0.189 eV/atom above it.